Compound: BaMg3
Source: Alexandria via LeMat-Bulk
Functional: GGA-PBE
Structure: optimized geometry

Results
ρ (Mg/m³): 2.74
Size of the total moment (Bohr magnetons per cell): 0.000
Energy (eV for the cell shown): -5.92

Cell lengths 10.9701, 10.9701, 10.9701 Å; angles 19.40, 19.40, 19.40 degrees
Positions (direct):
1 Mg 0.7619 0.7619 0.7619
2 Mg 0.2381 0.2381 0.2381
3 Mg 0.5000 0.5000 0.5000
4 Ba 0.0000 0.0000 0.0000

***

Compound: Ba6Mg
Source: Alexandria via LeMat-Bulk
Functional: GGA-PBE
Structure: optimized geometry

Results
ρ (Mg/m³): 3.31
Size of the total moment (Bohr magnetons per cell): 0.000
Energy (eV for the cell shown): -5.75

Cell lengths 8.2048, 8.2048, 8.2048 Å; angles 109.47, 109.47, 109.47 degrees
Positions (direct):
1 Ba 0.2500 0.7500 0.5000
2 Ba 0.5000 0.7500 0.2500
3 Ba 0.7500 0.2500 0.5000
4 Ba 0.2500 0.5000 0.7500
5 Ba 0.5000 0.2500 0.7500
6 Ba 0.7500 0.5000 0.2500
7 Mg 0.0000 0.0000 0.0000

***

Compound: BaMg3
Source: Alexandria via LeMat-Bulk
Functional: GGA-PBE
Structure: optimized geometry

Results
ρ (Mg/m³): 2.80
Size of the total moment (Bohr magnetons per cell): 0.000
Energy (eV for the cell shown): -5.98

Cell lengths 3.6346, 3.6346, 10.9084 Å; angles 90.00, 90.00, 120.00 degrees
Positions (direct):
1 Mg 0.0000 0.0000 0.5000
2 Mg 0.3333 0.6667 0.2850
3 Mg 0.3333 0.6667 0.7150
4 Ba 0.0000 0.0000 0.0000

***

Compound: BaMg2
Source: Alexandria via LeMat-Bulk
Functional: GGA-PBE
Structure: optimized geometry

Results
ρ (Mg/m³): 2.92
Size of the total moment (Bohr magnetons per cell): 0.000
Energy (eV for the cell shown): -5.09

Cell lengths 4.0919, 4.0919, 6.9548 Å; angles 107.11, 107.11, 90.00 degrees
Positions (direct):
1 Mg 0.3034 0.3034 0.6068
2 Mg 0.6966 0.6966 0.3932
3 Ba 0.0000 0.0000 0.0000